VASP calculation (PBE) on crystalline LuHfIn2 at its relaxed geometry.

Results
Space-group type   Fm-3m (225)
Calculated volume   23.52 Å³ per atom
Energy relative to the lowest polymorph listed for this composition   0.0614 eV per atom
E   -5.1358 eV per atom
Formation energy from the elements   -0.15 eV per atom

The structure in CIF format:
```
data_LuHfIn2
_chemical_formula_sum 'Lu1 Hf1 In2'
_space_group_name_H-M_alt 'P 1'
_space_group_IT_number 1
_space_group_name_Hall 'P 1'
_cell_length_a 5.1049
_cell_length_b 5.1049
_cell_length_c 5.1049
_cell_angle_alpha 60.00
_cell_angle_beta 60.00
_cell_angle_gamma 60.00
loop_
_atom_site_label
_atom_site_type_symbol
_atom_site_fract_x
_atom_site_fract_y
_atom_site_fract_z
Hf1 Hf 0.5000 0.5000 0.5000
Lu1 Lu 0.0000 0.0000 0.0000
In1 In 0.7500 0.7500 0.7500
In2 In 0.2500 0.2500 0.2500
```